! AlTlAs2, relaxed, DFT PBE; values from VASP
&SYSTEM
  ibrav = 0, nat = 4, ntyp = 3
/
ATOMIC_SPECIES
Tl 204.38 Tl.upf
As 74.92 As.upf
Al 26.98 Al.upf
CELL_PARAMETERS angstrom
3.536 0.000 0.000
0.000 3.536 0.000
0.000 0.000 7.324
ATOMIC_POSITIONS angstrom
Tl 1.768 1.768 1.831
As 0.000 0.000 6.757
As 0.000 0.000 4.229
Al 1.768 1.768 5.493
! Magnetic moment (μB/atom): 0.000
! Distance to the lowest polymorph of the same formula (meV per atom): 228
! Total energy (eV per atom): -3.80
! ΔH_f (0 K) (eV/atom): 0.05



! Al2TlAs, relaxed, DFT PBE; values from VASP
&SYSTEM
  ibrav = 0, nat = 4, ntyp = 3
/
ATOMIC_SPECIES
Tl 204.38 Tl.upf
As 74.92 As.upf
Al 26.98 Al.upf
CELL_PARAMETERS angstrom
-0.753 2.717 3.687
-3.826 1.176 2.351
-0.086 -4.009 4.824
ATOMIC_POSITIONS angstrom
Tl -1.146 0.057 2.569
As -2.265 -0.563 5.857
Al -0.139 -3.642 4.522
Al -3.534 -0.036 8.168
! Magnetic moment (μB/atom): 0.000
! Distance to the lowest polymorph of the same formula (meV per atom): 106
! Total energy (eV per atom): -3.51
! ΔH_f (0 K) (eV/atom): 0.12



! AlTlAs, relaxed, DFT PBE; values from VASP
&SYSTEM
  ibrav = 0, nat = 3, ntyp = 3
/
ATOMIC_SPECIES
Tl 204.38 Tl.upf
As 74.92 As.upf
Al 26.98 Al.upf
CELL_PARAMETERS angstrom
3.996 0.000 0.000
-1.998 3.461 0.000
0.000 0.000 5.548
ATOMIC_POSITIONS angstrom
Tl 0.000 2.307 3.767
As 1.998 1.154 1.347
Al 0.000 0.000 0.435
! Magnetic moment (μB/atom): 0.000
! Distance to the lowest polymorph of the same formula (meV per atom): 14
! Total energy (eV per atom): -3.69
! ΔH_f (0 K) (eV/atom): -0.11